First-principles (PBE) data for an optimized crystal structure of ScMn2Pb, as listed in the Alexandria database.

Space group: C2/m, No. 12
Uncorrected energy: -6.83 eV/atom
DOS at the Fermi energy: 4.18 states/eV/f.u.
Energy of formation from the pure elements: 264 meV/atom
Total moment: 6.909 μB/f.u.

a b c (Å): 5.1250 5.1250 5.0867
angles (deg): 102.00 102.00 36.88
Fractional coordinates of all 4 atoms:
Sc 0.0000 0.0000 0.0000
Mn 0.2492 0.2492 0.7695
Mn 0.7508 0.7508 0.2305
Pb 0.5000 0.5000 0.5000

---

First-principles (PBE) data for an optimized crystal structure of ScMnPb2, as listed in the Alexandria database.

Space group: Immm, No. 71
Uncorrected energy: -5.63 eV/atom
DOS at the Fermi energy: 3.21 states/eV/f.u.
Energy of formation from the pure elements: 102 meV/atom
Total moment: 2.921 μB/f.u.

a b c (Å): 5.2474 5.2474 5.2474
angles (deg): 130.73 117.89 83.09
Fractional coordinates of all 4 atoms:
Sc 0.0000 0.0000 0.0000
Mn 0.5000 0.5000 0.0000
Pb 0.2635 0.7635 0.5000
Pb 0.7365 0.2365 0.5000

---

First-principles (PBE) data for an optimized crystal structure of ScMn2Pb, as listed in the Alexandria database.

Space group: F-43m, No. 216
Uncorrected energy: -6.86 eV/atom
DOS at the Fermi energy: 5.29 states/eV/f.u.
Energy of formation from the pure elements: 237 meV/atom
Total moment: 6.817 μB/f.u.

a b c (Å): 4.7382 4.7382 4.7382
angles (deg): 60.00 60.00 60.00
Fractional coordinates of all 4 atoms:
Sc 0.0000 0.0000 0.0000
Mn 0.2500 0.2500 0.2500
Mn 0.5000 0.5000 0.5000
Pb 0.7500 0.7500 0.7500

---

First-principles (PBE) data for an optimized crystal structure of ScMn2Pb, as listed in the Alexandria database.

Space group: R3m, No. 160
Uncorrected energy: -6.95 eV/atom
DOS at the Fermi energy: 3.61 states/eV/f.u.
Energy of formation from the pure elements: 145 meV/atom
Total moment: 0.007 μB/f.u.

a b c (Å): 6.6424 6.6424 6.6424
angles (deg): 32.63 32.63 32.63
Fractional coordinates of all 4 atoms:
Sc 0.0000 0.0000 0.0000
Mn 0.4395 0.4395 0.4395
Mn 0.7594 0.7594 0.7594
Pb 0.2033 0.2033 0.2033

---

Number 1: volume 19.56 A^3/atom. Number 2: volume 23.25 A^3/atom. Number 3: volume 18.80 A^3/atom. Number 4: volume 18.95 A^3/atom.